Material: Na2LiUO4
Method: DFT, PBE
State: optimized geometry

Cell lengths 3.4863, 5.4179, 5.7479 Å; angles 105.66, 90.00, 90.00 degrees
Closest atoms and distances in Å follow each position.
Fractional positions:
O (0.0000, 0.2308, 0.7766)  1 U 2.02
O (0.0000, 0.7692, 0.2234)  1 U 2.02
O (0.5000, 0.7710, 0.7980)  1 Li 2.10, 2 U 2.27
O (0.5000, 0.2290, 0.2020)  1 Li 2.10, 2 U 2.27
Li (0.5000, 0.5000, 0.0000)  2 O 2.10
Na (0.0000, 0.5000, 0.5000)  6 O 2.43-2.60
Na (0.5000, 0.0000, 0.5000)  6 O 2.37-2.46
U (0.0000, 0.0000, 0.0000)  2 O 2.02

Properties
- N(E_F): 2.75 states/eV/f.u.
- Crystal system: monoclinic
- DFT total energy: -0.2535 Ha/atom
- Formation energy from raw total energies: -2.4392 eV per atom
- Magnetic moment: 1.00 Bohr magnetons per cell